The following is a DFT calculation (PBE-GGA) of MgAlSe after structural relaxation.

Cell lengths 3.9110, 3.9110, 8.0959 Å; angles 90.00, 90.00, 90.00 degrees
Element x y z (fractional)
Mg 0.2500 0.2500 0.1732
Mg 0.7500 0.7500 0.8268
Al 0.2500 0.7500 0.5000
Al 0.7500 0.2500 0.5000
Se 0.2500 0.2500 0.8314
Se 0.7500 0.7500 0.1686

Computed properties:
Volume: 123.84 Å³/cell
Space group: P4/nmm
Uncorrected formation energy: -0.495 eV/atom
Total magnetic moment: 0.0000 μB per atom

=====

The following is a DFT calculation (PBE-GGA) of Sr2InAs after structural relaxation.

Cell lengths 7.2242, 7.2242, 7.2242 Å; angles 105.60, 105.60, 117.53 degrees
Element x y z (fractional)
Sr 0.0830 0.1250 0.4580
Sr 0.3750 0.9170 0.0420
Sr 0.6670 0.6250 0.5420
Sr 0.8750 0.3330 0.9580
In 0.2500 0.7500 0.5000
In 0.5000 0.5000 0.0000
As 0.0000 0.0000 0.0000
As 0.7500 0.2500 0.5000

Computed properties:
Volume: 285.87 Å³/cell
Space group: I-42d
E_form: -0.459 eV/atom
Total magnetic moment: 0.0000 μB per atom

=====

The following is a DFT calculation (PBE-GGA) of CuH2Pt after structural relaxation.

Cell lengths 5.1624, 5.1624, 5.1624 Å; angles 33.86, 33.86, 33.86 degrees
Element x y z (fractional)
Cu 0.0000 0.0000 0.0000
H 0.1141 0.1141 0.1141
H 0.8859 0.8859 0.8859
Pt 0.5000 0.5000 0.5000

Computed properties:
Uncorrected energy: -0.2933 Ry/atom
Volume: 38.07 Å³/cell
Space group: R-3m
Total magnetic moment: 0.0000 μB per atom

=====

The following is a DFT calculation (PBE-GGA) of Ba2OsCl after structural relaxation.

Cell lengths 7.0255, 7.0255, 7.0255 Å; angles 143.00, 143.00, 53.33 degrees
Element x y z (fractional)
Ba 0.0000 0.0000 0.0000
Ba 0.7500 0.2500 0.5000
Os 0.5000 0.5000 0.0000
Cl 0.2500 0.7500 0.5000

Computed properties:
Volume: 124.81 Å³/cell
Space group: I-4m2
Uncorrected formation energy: 0.054 eV/atom
Total magnetic moment: 0.2695 μB per atom